VASP calculation (PBE) on a relaxed structure of Ba2SiHg.

a = 6.4519 Å, b = 6.4519 Å, c = 6.4519 Å
α = 135.02°, β = 135.02°, γ = 65.50°
With the nearest neighbours (Å) after each atom.
Element x y z (fractional)
Ba 0.0000 0.0000 0.0000  4 Hg 3.49, 4 Si 3.67, 4 Ba 3.67
Ba 0.2500 0.7500 0.5000  4 Si 3.49, 4 Hg 3.67, 4 Ba 3.67
Hg 0.5000 0.5000 0.0000  8 Ba 3.49-3.67, 4 Si 3.67
Si 0.7500 0.2500 0.5000  8 Ba 3.49-3.67, 4 Hg 3.67

Results
formation energy without anion corrections: -0.153 eV per atom
crystal system: tetragonal

=====

VASP calculation (PBE) on a relaxed structure of KZr2As.

a = 3.2419 Å, b = 3.2419 Å, c = 10.2786 Å
α = 90.00°, β = 90.00°, γ = 104.84°
With the nearest neighbours (Å) after each atom.
Element x y z (fractional)
As 0.0000 0.0000 0.4591  2 Zr 2.70
K 0.5000 0.5000 0.7070  2 As 3.23, 4 K 3.24
Zr 0.0000 0.0000 0.0534  6 Zr 3.06-3.24
Zr 0.5000 0.5000 0.2805  2 As 2.70

Results
ΔH_f (0 K): -0.32 eV per formula unit
crystal system: orthorhombic

=====

VASP calculation (PBE) on a relaxed structure of HfRhF2.

a = 3.8468 Å, b = 3.8468 Å, c = 8.0257 Å
α = 76.13°, β = 76.13°, γ = 90.00°
With the nearest neighbours (Å) after each atom.
Element x y z (fractional)
Rh 0.5000 0.5000 0.0000  4 F 2.44, 4 Hf 2.72
Rh 0.2500 0.7500 0.5000  4 F 2.44, 4 Hf 2.72
Hf 0.0000 0.0000 0.0000  4 F 2.23
Hf 0.7500 0.2500 0.5000  4 F 2.23
F 0.6902 0.1250 0.2500  2 Hf 2.23, 2 F 2.39, 2 Rh 2.44
F 0.0598 0.6250 0.2500  2 Hf 2.23, 2 F 2.39, 2 Rh 2.44
F 0.3750 0.3098 0.7500  2 Hf 2.23, 2 F 2.39, 2 Rh 2.44
F 0.8750 0.9402 0.7500  2 Hf 2.23, 2 F 2.39, 2 Rh 2.44

Results
formation energy without anion corrections: -1.626 eV per atom
crystal system: tetragonal
excess energy over the best structure of this formula in the dataset: 0.000 eV/atom